{
  "formula": "MoPd2Pt2",
  "functional": "PBE",
  "state": "optimized geometry",
  "cell": [[4.947, 0.000, 0.000], [0.000, 4.947, 0.000], [-2.473, -2.473, 3.770]],
  "species": ["Mo", "Pd", "Pd", "Pt", "Pt"],
  "fractional_positions": [[0.000, 0.000, 0.000], [0.661, 0.661, 0.322], [0.339, 0.339, 0.678], [0.250, 0.750, 0.500], [0.750, 0.250, 0.500]],
  "m_tot_mub_per_fu": 2.02,
  "de_polymorph_ev_per_atom": 0.499,
  "space_group": "No. 139",
  "e_form_mev_per_atom": 775,
  "total_energy_ev_per_cell": -29.4
}

{
  "formula": "MoPdPt5",
  "functional": "PBE",
  "state": "optimized geometry",
  "cell": [[5.349, 0.199, -1.231], [-1.864, 6.448, -1.006], [0.177, -0.212, 6.782]],
  "species": ["Mo", "Mo", "Pd", "Pd", "Pt", "Pt", "Pt", "Pt", "Pt", "Pt", "Pt", "Pt", "Pt", "Pt"],
  "fractional_positions": [[0.250, 0.500, 0.500], [0.750, 0.500, 0.500], [0.000, 0.000, 0.000], [0.500, 0.000, 0.000], [0.624, 0.613, 0.881], [0.378, 0.150, 0.402], [0.124, 0.881, 0.613], [0.250, 0.751, 0.249], [0.122, 0.598, 0.850], [0.878, 0.402, 0.150], [0.750, 0.249, 0.751], [0.876, 0.119, 0.387], [0.622, 0.850, 0.598], [0.376, 0.387, 0.119]],
  "m_tot_mub_per_fu": 0.00,
  "space_group": "No. 15",
  "e_form_mev_per_atom": -9,
  "total_energy_ev_per_cell": -92.6
}

{
  "formula": "MoPd2Pt2",
  "functional": "PBE",
  "state": "optimized geometry",
  "cell": [[-0.436, 3.166, 1.700], [-3.466, 0.082, -1.042], [-3.702, -1.608, 5.901]],
  "species": ["Mo", "Pd", "Pd", "Pt", "Pt"],
  "fractional_positions": [[0.000, 0.000, 0.000], [0.404, 0.404, 0.192], [0.596, 0.596, 0.808], [0.750, 0.250, 0.500], [0.250, 0.750, 0.500]],
  "m_tot_mub_per_fu": 2.01,
  "de_polymorph_ev_per_atom": 0.215,
  "space_group": "No. 139",
  "e_form_mev_per_atom": 490,
  "total_energy_ev_per_cell": -30.8
}

{
  "formula": "Mo2PdPt8",
  "functional": "PBE",
  "state": "optimized geometry",
  "cell": [[3.737, 0.000, -1.137], [-1.173, 6.786, -3.854], [0.174, -0.424, 7.281]],
  "species": ["Mo", "Mo", "Pd", "Pt", "Pt", "Pt", "Pt", "Pt", "Pt", "Pt", "Pt"],
  "fractional_positions": [[0.171, 0.671, 0.343], [0.829, 0.329, 0.657], [0.500, 0.000, 0.000], [0.661, 0.898, 0.322], [0.339, 0.576, 0.678], [0.170, 0.170, 0.341], [0.000, 0.279, 0.000], [0.830, 0.830, 0.659], [0.661, 0.424, 0.322], [0.339, 0.102, 0.678], [0.000, 0.721, 0.000]],
  "m_tot_mub_per_fu": 0.00,
  "space_group": "No. 71",
  "e_form_mev_per_atom": -157,
  "total_energy_ev_per_cell": -76.9
}

{
  "formula": "MoPd3Pt4",
  "functional": "PBE",
  "state": "optimized geometry",
  "cell": [[-0.326, -3.889, 2.717], [2.626, 0.361, 0.832], [-1.563, 7.463, 6.334]],
  "species": ["Mo", "Pd", "Pd", "Pd", "Pt", "Pt", "Pt", "Pt"],
  "fractional_positions": [[0.500, 0.000, 0.000], [0.000, 0.500, 0.000], [0.250, 0.251, 0.500], [0.750, 0.749, 0.500], [0.622, 0.377, 0.244], [0.378, 0.623, 0.756], [0.875, 0.125, 0.751], [0.125, 0.875, 0.249]],
  "m_tot_mub_per_fu": 0.00,
  "de_polymorph_ev_per_atom": 0.159,
  "space_group": "No. 71",
  "e_form_mev_per_atom": -1,
  "total_energy_ev_per_cell": -50.6
}

{
  "formula": "MoPd2Pt",
  "functional": "PBE",
  "state": "optimized geometry",
  "cell": [[7.119, 0.000, 0.000], [0.000, 7.119, 0.000], [3.560, 3.560, 2.676]],
  "species": ["Mo", "Mo", "Pd", "Pd", "Pd", "Pd", "Pt", "Pt"],
  "fractional_positions": [[0.500, 0.500, 0.000], [0.250, 0.750, 0.500], [0.609, 0.125, 0.250], [0.141, 0.625, 0.250], [0.375, 0.391, 0.750], [0.875, 0.859, 0.750], [0.000, 0.000, 0.000], [0.750, 0.250, 0.500]],
  "m_tot_mub_per_fu": 0.00,
  "de_polymorph_ev_per_atom": 0.577,
  "space_group": "No. 122",
  "e_form_mev_per_atom": 429,
  "total_energy_ev_per_cell": -51.1
}

{
  "formula": "MoPd12Pt3",
  "functional": "PBE",
  "state": "optimized geometry",
  "cell": [[-1.297, 2.990, -2.221], [-3.724, -1.056, 0.754], [-0.094, 9.404, 12.715]],
  "species": ["Mo", "Pd", "Pd", "Pd", "Pd", "Pd", "Pd", "Pd", "Pd", "Pd", "Pd", "Pd", "Pd", "Pt", "Pt", "Pt"],
  "fractional_positions": [[0.000, 0.000, 0.000], [0.500, 0.500, 0.000], [0.500, 0.500, 0.247], [0.500, 0.500, 0.500], [0.500, 0.500, 0.753], [0.500, 0.000, 0.120], [0.500, 0.000, 0.375], [0.500, 0.000, 0.625], [0.500, 0.000, 0.880], [0.000, 0.500, 0.120], [0.000, 0.500, 0.375], [0.000, 0.500, 0.625], [0.000, 0.500, 0.880], [0.000, 0.000, 0.251], [0.000, 0.000, 0.500], [0.000, 0.000, 0.749]],
  "m_tot_mub_per_fu": 0.00,
  "space_group": "No. 123",
  "e_form_mev_per_atom": -41,
  "total_energy_ev_per_cell": -91.9
}

{
  "formula": "Mo2Pd4Pt3",
  "functional": "PBE",
  "state": "optimized geometry",
  "cell": [[-0.747, 2.410, 4.165], [-4.486, 0.132, -1.804], [0.056, -4.904, 3.766]],
  "species": ["Mo", "Mo", "Pd", "Pd", "Pd", "Pd", "Pt", "Pt", "Pt"],
  "fractional_positions": [[0.899, 0.554, 0.217], [0.101, 0.446, 0.783], [0.443, 0.771, 0.114], [0.664, 0.663, 0.667], [0.336, 0.337, 0.333], [0.557, 0.229, 0.886], [0.787, 0.116, 0.439], [0.000, 0.000, 0.000], [0.213, 0.884, 0.561]],
  "m_tot_mub_per_fu": 0.00,
  "space_group": "No. 2",
  "e_form_mev_per_atom": -183,
  "total_energy_ev_per_cell": -62.2
}

{
  "formula": "Mo2Pd3Pt2",
  "functional": "PBE",
  "state": "optimized geometry",
  "cell": [[4.787, 0.284, -0.825], [-1.933, 3.294, -0.826], [-1.295, -1.260, 7.227]],
  "species": ["Mo", "Mo", "Pd", "Pd", "Pd", "Pt", "Pt"],
  "fractional_positions": [[0.800, 0.580, 0.860], [0.200, 0.420, 0.140], [0.500, 0.000, 0.000], [0.644, 0.288, 0.432], [0.356, 0.712, 0.568], [0.922, 0.848, 0.274], [0.078, 0.152, 0.726]],
  "m_tot_mub_per_fu": 0.00,
  "space_group": "No. 12",
  "e_form_mev_per_atom": -172,
  "total_energy_ev_per_cell": -50.5
}

{
  "formula": "MoPd5Pt2",
  "functional": "PBE",
  "state": "optimized geometry",
  "cell": [[3.924, 0.000, 0.000], [0.000, 5.608, 0.000], [0.000, 0.000, 11.167]],
  "species": ["Mo", "Mo", "Pd", "Pd", "Pd", "Pd", "Pd", "Pd", "Pd", "Pd", "Pd", "Pd", "Pt", "Pt", "Pt", "Pt"],
  "fractional_positions": [[0.000, 0.000, 0.500], [0.000, 0.500, 0.000], [0.000, 0.000, 0.000], [0.000, 0.500, 0.500], [0.000, 0.498, 0.755], [0.000, 0.502, 0.245], [0.000, 0.002, 0.255], [0.000, 0.998, 0.745], [0.500, 0.249, 0.876], [0.500, 0.751, 0.124], [0.500, 0.251, 0.376], [0.500, 0.749, 0.624], [0.500, 0.242, 0.620], [0.500, 0.758, 0.380], [0.500, 0.258, 0.120], [0.500, 0.742, 0.880]],
  "m_tot_mub_per_fu": 0.00,
  "space_group": "No. 55",
  "e_form_mev_per_atom": -142,
  "total_energy_ev_per_cell": -100.0
}

{
  "formula": "MoPd4Pt3",
  "functional": "PBE",
  "state": "optimized geometry",
  "cell": [[-1.363, 1.228, 2.003], [-2.855, -3.718, 0.337], [10.735, -1.163, 6.177]],
  "species": ["Mo", "Pd", "Pd", "Pd", "Pd", "Pt", "Pt", "Pt"],
  "fractional_positions": [[0.500, 0.000, 0.000], [0.695, 0.801, 0.390], [0.305, 0.199, 0.610], [0.903, 0.649, 0.806], [0.097, 0.351, 0.194], [0.000, 0.500, 0.000], [0.198, 0.301, 0.396], [0.802, 0.699, 0.604]],
  "m_tot_mub_per_fu": 0.00,
  "de_polymorph_ev_per_atom": 0.386,
  "space_group": "No. 12",
  "e_form_mev_per_atom": 212,
  "total_energy_ev_per_cell": -48.0
}

{
  "formula": "Mo2Pd6Pt3",
  "functional": "PBE",
  "state": "optimized geometry",
  "cell": [[-4.333, 0.355, 1.887], [-3.573, -2.547, -1.788], [3.177, -10.767, 15.284]],
  "species": ["Mo", "Mo", "Mo", "Mo", "Pd", "Pd", "Pd", "Pd", "Pd", "Pd", "Pd", "Pd", "Pd", "Pd", "Pd", "Pd", "Pt", "Pt", "Pt", "Pt", "Pt", "Pt"],
  "fractional_positions": [[0.334, 0.834, 0.000], [0.835, 0.335, 0.500], [0.666, 0.166, 0.000], [0.165, 0.665, 0.500], [0.118, 0.712, 0.882], [0.449, 0.051, 0.882], [0.788, 0.382, 0.882], [0.288, 0.211, 0.382], [0.948, 0.882, 0.382], [0.618, 0.551, 0.382], [0.882, 0.288, 0.118], [0.551, 0.949, 0.118], [0.212, 0.618, 0.118], [0.712, 0.789, 0.618], [0.052, 0.118, 0.618], [0.382, 0.449, 0.618], [0.251, 0.916, 0.750], [0.584, 0.250, 0.750], [0.917, 0.583, 0.750], [0.083, 0.417, 0.250], [0.749, 0.084, 0.250], [0.416, 0.750, 0.250]],
  "m_tot_mub_per_fu": 0.00,
  "space_group": "No. 63",
  "e_form_mev_per_atom": 73,
  "total_energy_ev_per_cell": -140.3
}

{
  "formula": "Mo2Pd3Pt3",
  "functional": "PBE",
  "state": "optimized geometry",
  "cell": [[-3.253, -3.734, 0.843], [1.558, -2.007, -4.334], [3.467, -2.835, 2.276]],
  "species": ["Mo", "Mo", "Pd", "Pd", "Pd", "Pt", "Pt", "Pt"],
  "fractional_positions": [[0.268, 0.268, 0.732], [0.732, 0.732, 0.268], [0.263, 0.737, 0.000], [0.000, 0.263, 0.263], [0.737, 0.000, 0.737], [0.220, 0.780, 0.500], [0.500, 0.220, 0.220], [0.780, 0.500, 0.780]],
  "m_tot_mub_per_fu": 0.00,
  "space_group": "No. 155",
  "e_form_mev_per_atom": -91,
  "total_energy_ev_per_cell": -56.1
}

{
  "formula": "Mo2PdPt",
  "functional": "PBE",
  "state": "optimized geometry",
  "cell": [[0.000, 3.169, 3.169], [3.169, 0.000, 3.169], [3.169, 3.169, 0.000]],
  "species": ["Mo", "Mo", "Pd", "Pt"],
  "fractional_positions": [[0.250, 0.250, 0.250], [0.750, 0.750, 0.750], [0.000, 0.000, 0.000], [0.500, 0.500, 0.500]],
  "m_tot_mub_per_fu": 0.00,
  "de_polymorph_ev_per_atom": 0.428,
  "space_group": "No. 225",
  "e_form_mev_per_atom": 319,
  "total_energy_ev_per_cell": -31.6
}

{
  "formula": "Mo2Pd6Pt",
  "functional": "PBE",
  "state": "optimized geometry",
  "cell": [[3.789, 0.000, -1.133], [-0.598, 5.864, -2.000], [-0.200, 0.111, 6.233]],
  "species": ["Mo", "Mo", "Pd", "Pd", "Pd", "Pd", "Pd", "Pd", "Pt"],
  "fractional_positions": [[0.947, 0.156, 0.893], [0.053, 0.844, 0.107], [0.393, 0.835, 0.785], [0.607, 0.165, 0.215], [0.719, 0.837, 0.439], [0.163, 0.496, 0.326], [0.281, 0.163, 0.561], [0.837, 0.504, 0.674], [0.500, 0.500, 0.000]],
  "m_tot_mub_per_fu": 0.00,
  "space_group": "No. 12",
  "e_form_mev_per_atom": -110,
  "total_energy_ev_per_cell": -59.8
}

{
  "formula": "Mo2Pd5Pt5",
  "functional": "PBE",
  "state": "optimized geometry",
  "cell": [[0.673, -2.754, 2.725], [1.923, -5.192, -2.884], [8.410, -0.234, 0.524]],
  "species": ["Mo", "Mo", "Pd", "Pd", "Pd", "Pd", "Pd", "Pt", "Pt", "Pt", "Pt", "Pt"],
  "fractional_positions": [[0.915, 0.416, 0.755], [0.085, 0.584, 0.245], [0.837, 0.825, 0.502], [0.255, 0.744, 0.747], [0.745, 0.256, 0.253], [0.163, 0.175, 0.498], [0.000, 0.000, 0.000], [0.500, 0.500, 0.500], [0.332, 0.337, 0.999], [0.426, 0.899, 0.249], [0.574, 0.101, 0.751], [0.668, 0.663, 0.001]],
  "m_tot_mub_per_fu": 0.00,
  "space_group": "No. 12",
  "e_form_mev_per_atom": -194,
  "total_energy_ev_per_cell": -80.2
}

{
  "formula": "MoPd2Pt6",
  "functional": "PBE",
  "state": "optimized geometry",
  "cell": [[5.211, 0.243, -0.663], [-1.188, 7.304, -1.298], [0.272, 0.013, 7.508]],
  "species": ["Mo", "Mo", "Pd", "Pd", "Pd", "Pd", "Pt", "Pt", "Pt", "Pt", "Pt", "Pt", "Pt", "Pt", "Pt", "Pt", "Pt", "Pt"],
  "fractional_positions": [[0.250, 0.901, 0.099], [0.750, 0.099, 0.901], [0.115, 0.383, 0.351], [0.385, 0.649, 0.617], [0.885, 0.617, 0.649], [0.615, 0.351, 0.383], [0.510, 0.325, 0.733], [0.990, 0.267, 0.675], [0.490, 0.675, 0.267], [0.010, 0.733, 0.325], [0.711, 0.933, 0.562], [0.789, 0.438, 0.067], [0.289, 0.067, 0.438], [0.211, 0.562, 0.933], [0.308, 0.235, 0.044], [0.192, 0.956, 0.765], [0.692, 0.765, 0.956], [0.808, 0.044, 0.235]],
  "m_tot_mub_per_fu": 0.00,
  "space_group": "No. 15",
  "e_form_mev_per_atom": -3,
  "total_energy_ev_per_cell": -115.0
}

{
  "formula": "Mo3PdPt4",
  "functional": "PBE",
  "state": "optimized geometry",
  "cell": [[2.656, 0.000, -0.565], [-0.354, 4.511, -1.663], [1.239, -1.322, 12.350]],
  "species": ["Mo", "Mo", "Mo", "Pt", "Pt", "Pt", "Pt", "Pd"],
  "fractional_positions": [[0.000, 0.500, 0.000], [0.197, 0.291, 0.394], [0.803, 0.709, 0.606], [0.401, 0.130, 0.802], [0.599, 0.870, 0.198], [0.700, 0.779, 0.400], [0.300, 0.221, 0.600], [0.500, 0.000, 0.000]],
  "m_tot_mub_per_fu": 0.00,
  "space_group": "No. 12",
  "e_form_mev_per_atom": 184,
  "total_energy_ev_per_cell": -60.4
}

{
  "formula": "MoPd3Pt2",
  "functional": "PBE",
  "state": "optimized geometry",
  "cell": [[-2.274, 1.159, -0.729], [-1.000, -3.838, -2.981], [-2.016, -2.196, 7.632]],
  "species": ["Mo", "Pd", "Pd", "Pd", "Pt", "Pt"],
  "fractional_positions": [[0.000, 0.000, 0.000], [0.000, 0.500, 0.000], [0.837, 0.837, 0.675], [0.163, 0.163, 0.325], [0.657, 0.657, 0.313], [0.343, 0.343, 0.687]],
  "m_tot_mub_per_fu": 0.00,
  "de_polymorph_ev_per_atom": 0.458,
  "space_group": "No. 71",
  "e_form_mev_per_atom": 385,
  "total_energy_ev_per_cell": -36.2
}

{
  "formula": "MoPd7Pt4",
  "functional": "PBE",
  "state": "optimized geometry",
  "cell": [[-2.489, 4.226, -0.566], [-0.418, -1.536, -7.489], [-7.078, 1.648, -1.245]],
  "species": ["Mo", "Pd", "Pd", "Pd", "Pd", "Pd", "Pd", "Pd", "Pt", "Pt", "Pt", "Pt"],
  "fractional_positions": [[0.000, 0.000, 0.000], [0.740, 0.925, 0.501], [0.260, 0.075, 0.499], [0.040, 0.653, 0.197], [0.960, 0.347, 0.803], [0.560, 0.579, 0.728], [0.500, 0.000, 0.000], [0.440, 0.421, 0.272], [0.640, 0.258, 0.619], [0.360, 0.742, 0.381], [0.907, 0.721, 0.874], [0.093, 0.279, 0.126]],
  "m_tot_mub_per_fu": 0.00,
  "space_group": "No. 2",
  "e_form_mev_per_atom": 45,
  "total_energy_ev_per_cell": -70.8
}